Entry 1:
Here is a geometry-optimized Ce2YSi structure from Alexandria via LeMat-Bulk. Energies are from GGA-PBE.

Structure (CIF):
```
data_Ce2YSi
_space_group_name_H-M_alt 'R -3 m'
_space_group_IT_number 166
_space_group_name_Hall '-R 3 2"'
_cell_length_a 3.6719
_cell_length_b 3.6719
_cell_length_c 30.8770
_cell_angle_alpha 90.00
_cell_angle_beta 90.00
_cell_angle_gamma 120.00
loop_
_atom_site_label
_atom_site_fract_x
_atom_site_fract_y
_atom_site_fract_z
Ce1 0.0000 0.0000 0.1060
Y1 0.0000 0.0000 0.0000
Si1 0.0000 0.0000 0.5000
```

***

Entry 2:
Here is a geometry-optimized Ce2YSi6 structure from Alexandria via LeMat-Bulk. Energies are from GGA-PBE.

Structure (CIF):
```
data_Ce2YSi6
_space_group_name_H-M_alt 'P 6/m m m'
_space_group_IT_number 191
_space_group_name_Hall '-P 6 2'
_cell_length_a 7.0501
_cell_length_b 7.0501
_cell_length_c 4.0760
_cell_angle_alpha 90.00
_cell_angle_beta 90.00
_cell_angle_gamma 120.00
loop_
_atom_site_label
_atom_site_fract_x
_atom_site_fract_y
_atom_site_fract_z
Ce1 0.3333 0.6667 0.0000
Y1 0.0000 0.0000 0.0000
Si1 0.0000 0.3330 0.5000
```

***

Entry 3:
Here is a geometry-optimized CeYZnSi structure from Alexandria via LeMat-Bulk. Energies are from GGA-PBE.

Structure (CIF):
```
data_CeYZnSi
_space_group_name_H-M_alt 'F -4 3 m'
_space_group_IT_number 216
_space_group_name_Hall 'F -4 2 3'
_cell_length_a 7.1234
_cell_length_b 7.1234
_cell_length_c 7.1234
_cell_angle_alpha 90.00
_cell_angle_beta 90.00
_cell_angle_gamma 90.00
loop_
_atom_site_label
_atom_site_fract_x
_atom_site_fract_y
_atom_site_fract_z
Ce1 0.0000 0.0000 0.0000
Y1 0.0000 0.0000 0.5000
Zn1 0.2500 0.2500 0.2500
Si1 0.2500 0.2500 0.7500
```

***

Entry 4:
Here is a geometry-optimized Ce2ZnSi3 structure from Alexandria via LeMat-Bulk. Energies are from GGA-PBE.

Structure (CIF):
```
data_Ce2ZnSi3
_space_group_name_H-M_alt 'I m m 2'
_space_group_IT_number 44
_cell_length_a 4.0859
_cell_length_b 4.1998
_cell_length_c 14.1385
_cell_angle_alpha 90.00
_cell_angle_beta 90.00
_cell_angle_gamma 90.00
loop_
_space_group_symop_operation_xyz
'x,y,z'
'-x,-y,z'
'-x,y,z'
'x,-y,z'
'x+1/2,y+1/2,z+1/2'
'-x+1/2,-y+1/2,z+1/2'
'-x+1/2,y+1/2,z+1/2'
'x+1/2,-y+1/2,z+1/2'
loop_
_atom_site_label
_atom_site_fract_x
_atom_site_fract_y
_atom_site_fract_z
Ce1 0.0000 0.0000 0.0000
Ce2 0.0000 0.5000 0.2628
Zn1 0.0000 0.0000 0.5927
Si1 0.0000 0.0000 0.4242
Si2 0.0000 0.5000 0.6734
Si3 0.0000 0.5000 0.8393
```

***

Entry 5:
Here is a geometry-optimized CeZn3Si2 structure from Alexandria via LeMat-Bulk. Energies are from GGA-PBE.

Structure (CIF):
```
data_CeZn3Si2
_space_group_name_H-M_alt 'C 1 2/m 1'
_space_group_IT_number 12
_cell_length_a 15.6793
_cell_length_b 4.0910
_cell_length_c 7.4252
_cell_angle_alpha 90.00
_cell_angle_beta 116.45
_cell_angle_gamma 90.00
loop_
_space_group_symop_operation_xyz
'x,y,z'
'-x,-y,-z'
'-x,y,-z'
'x,-y,z'
'x+1/2,y+1/2,z'
'-x+1/2,-y+1/2,-z'
'-x+1/2,y+1/2,-z'
'x+1/2,-y+1/2,z'
loop_
_atom_site_label
_atom_site_fract_x
_atom_site_fract_y
_atom_site_fract_z
Ce1 0.1434 0.0000 0.0661
Zn1 0.0424 0.0000 0.3837
Zn2 0.1145 0.5000 0.7242
Zn3 0.1831 0.5000 0.4496
Si1 0.0152 0.5000 0.1678
Si2 0.2033 0.0000 0.7035
```

***

Entry 6:
Here is a geometry-optimized Ce3Zn9Si2 structure from Alexandria via LeMat-Bulk. Energies are from GGA-PBE.

Structure (CIF):
```
data_Ce3Zn9Si2
_space_group_name_H-M_alt 'I m m m'
_space_group_IT_number 71
_space_group_name_Hall '-I 2 2'
_cell_length_a 4.3839
_cell_length_b 9.4248
_cell_length_c 12.5651
_cell_angle_alpha 90.00
_cell_angle_beta 90.00
_cell_angle_gamma 90.00
loop_
_atom_site_label
_atom_site_fract_x
_atom_site_fract_y
_atom_site_fract_z
Ce1 0.0000 0.0000 0.0000
Ce2 0.0000 0.0000 0.3128
Zn1 0.0000 0.2759 0.1408
Zn2 0.0000 0.3676 0.3392
Zn3 0.0000 0.5000 0.0000
Si1 0.0000 0.2147 0.5000
```

***

Looking at ΔE_f (raw) for the records above, in order, we have 96; -633; -423; -630; -257; -276 meV per atom.